VASP calculation (PBE) on crystalline RbBe2AsH2 at its relaxed geometry.

Results
- space-group type = Cmcm (63)

Lattice parameters (Å, degrees): 4.4042 7.4525 7.4522 121.84 90.00 90.00
Closest atoms and distances in Å follow each position.
Sites, in units of the cell vectors:
As 0.7500 0.8757 0.1236  4 Be 2.28
As 0.2500 0.1243 0.8764  4 Be 2.28
Be 0.0000 0.1612 0.1615  2 H 1.52
Be 0.5000 0.1612 0.1615  2 H 1.52
Be 0.0000 0.8388 0.8385  2 H 1.52
Be 0.5000 0.8388 0.8385  2 H 1.52
Rb 0.2500 0.6719 0.3281  6 H 3.18-3.19, 2 As 3.45, 4 Be 3.50
Rb 0.7500 0.3281 0.6719  6 H 3.18-3.19, 2 As 3.45, 4 Be 3.50
H 0.2500 0.2425 0.3267  2 Be 1.52
H 0.2500 0.6735 0.7566  2 Be 1.52
H 0.7500 0.3265 0.2434  2 Be 1.52
H 0.7500 0.7575 0.6733  2 Be 1.52

---

VASP calculation (PBE) on crystalline La2Th3Te8 at its relaxed geometry.

Results
- space-group type = C2/m (12)
- raw formation energy (eV per atom) = -1.24

Lattice parameters (Å, degrees): 7.5340 8.9197 9.2333 118.88 104.74 90.00
Closest atoms and distances in Å follow each position.
Sites, in units of the cell vectors:
Te 0.9040 0.6128 0.2256  2 Th 3.10, 1 La 3.22
Te 0.9088 0.1243 0.2486  3 Th 3.15-3.20, 1 La 3.21
Te 0.4154 0.8701 0.2412  2 Th 3.15-3.17, 2 La 3.24-3.29
Te 0.0960 0.3872 0.7744  2 Th 3.10, 1 La 3.22
Te 0.5846 0.1299 0.7588  2 Th 3.15-3.17, 2 La 3.24-3.29
Te 0.0912 0.8757 0.7514  3 Th 3.15-3.20, 1 La 3.21
Te 0.4154 0.3711 0.2412  2 Th 3.15-3.17, 2 La 3.24-3.29
Te 0.5846 0.6289 0.7588  2 Th 3.15-3.17, 2 La 3.24-3.29
Th 0.0000 0.2490 0.0000  6 Te 3.10-3.20
Th 0.0000 0.7510 0.0000  6 Te 3.10-3.20
Th 0.5000 0.0000 0.0000  6 Te 3.15
La 0.6723 0.7515 0.5029  6 Te 3.21-3.29
La 0.3277 0.2485 0.4971  6 Te 3.21-3.29

---

VASP calculation (PBE) on crystalline CsCu4P2 at its relaxed geometry.

Results
- formation energy from the elements (eV per formula unit) = -1.2
- space-group type = Cmmm (65)

Lattice parameters (Å, degrees): 4.0904 3.9715 8.7650 103.09 90.00 90.00
Closest atoms and distances in Å follow each position.
Sites, in units of the cell vectors:
Cu 0.5000 0.7935 0.5869  2 P 2.30, 2 Cu 2.48
Cu 0.0000 0.3032 0.6065  2 P 2.28
Cu 0.0000 0.6968 0.3935  2 P 2.28
Cu 0.5000 0.2065 0.4131  2 P 2.30, 2 Cu 2.48
P 0.5000 0.6384 0.2767  4 Cu 2.28-2.30
P 0.5000 0.3616 0.7233  4 Cu 2.28-2.30
Cs 0.0000 0.0000 0.0000  8 P 3.70, 8 Cu 3.90-4.08, 4 Cs 3.97-4.09

---

VASP calculation (PBE) on crystalline RbGaPb at its relaxed geometry.

Results
- formation energy from the elements (eV per formula unit) = -0.3
- space-group type = C2/m (12)

Lattice parameters (Å, degrees): 18.3115 8.0285 8.0285 146.91 153.26 26.74
Closest atoms and distances in Å follow each position.
Sites, in units of the cell vectors:
Ga 0.8819 0.8920 0.1080  2 Ga 2.80, 3 Pb 2.86-2.92
Ga 0.1181 0.1080 0.8920  2 Ga 2.80, 3 Pb 2.86-2.92
Rb 0.6907 0.4159 0.5841  4 Ga 3.82-3.91, 6 Pb 3.99-4.25
Rb 0.3093 0.5841 0.4159  4 Ga 3.82-3.91, 6 Pb 3.99-4.25
Pb 0.2092 0.4027 0.5973  3 Ga 2.86-2.92
Pb 0.7908 0.5973 0.4027  3 Ga 2.86-2.92

---

VASP calculation (PBE) on crystalline TbTm2Bi at its relaxed geometry.

Results
- formation energy from the elements (eV per formula unit) = 0.2
- space-group type = R-3m (166)

Lattice parameters (Å, degrees): 3.5204 3.5204 12.0574 81.61 81.61 60.00
Closest atoms and distances in Å follow each position.
Sites, in units of the cell vectors:
Tm 0.0878 0.0878 0.7367  1 Bi 3.13, 3 Tb 3.47
Tm 0.9122 0.9122 0.2633  1 Bi 3.13, 3 Tb 3.47
Tb 0.5000 0.5000 0.5000  6 Tm 3.47, 6 Tb 3.52
Bi 0.0000 0.0000 0.0000  2 Tm 3.13

---

VASP calculation (PBE) on crystalline NaAg2F11 at its relaxed geometry.

Results
- space-group type = Ibam (72)
- raw formation energy (eV per atom) = -0.93

Lattice parameters (Å, degrees): 8.2584 8.2584 8.2584 113.50 111.41 103.66
Closest atoms and distances in Å follow each position.
Sites, in units of the cell vectors:
F 0.9001 0.6775 0.3092  1 Ag 1.94
F 0.4299 0.6286 0.3296  1 Ag 1.94
F 0.0701 0.3996 0.1987  1 Ag 1.94
F 0.5000 0.5000 0.0000  2 Ag 2.08
F 0.5999 0.9091 0.7774  1 Ag 1.94
F 0.1317 0.8225 0.2226  1 Ag 1.94
F 0.4001 0.0909 0.2226  1 Ag 1.94
F 0.7009 0.8996 0.3296  1 Ag 1.94
F 0.2991 0.1004 0.6704  1 Ag 1.94
F 0.2009 0.8714 0.8013  1 Ag 1.94
F 0.8188 0.7936 0.6124  1 Ag 1.90
F 0.5701 0.3714 0.6704  1 Ag 1.94
F 0.8683 0.1775 0.7774  1 Ag 1.94
F 0.7991 0.1286 0.1987  1 Ag 1.94
F 0.3188 0.7064 0.0253  1 Ag 1.90
F 0.1812 0.2064 0.3876  1 Ag 1.90
F 0.6317 0.4091 0.3092  1 Ag 1.94
F 0.0000 0.0000 0.0000  2 Ag 2.08
F 0.3683 0.5909 0.6908  1 Ag 1.94
F 0.6812 0.2936 0.9747  1 Ag 1.90
F 0.9299 0.6004 0.8013  1 Ag 1.94
F 0.0999 0.3225 0.6908  1 Ag 1.94
Ag 0.3343 0.3455 0.6798  6 F 1.90-2.08
Ag 0.8343 0.1545 0.9888  6 F 1.90-2.08
Ag 0.6657 0.6545 0.3202  6 F 1.90-2.08
Ag 0.1657 0.8455 0.0112  6 F 1.90-2.08
Na 0.7500 0.2500 0.5000  8 F 2.51
Na 0.2500 0.7500 0.5000  8 F 2.51

---

VASP calculation (PBE) on crystalline CsTaBe2Zn at its relaxed geometry.

Results
- formation energy from the elements (eV per formula unit) = 13.6
- space-group type = P4/mmm (123)

Lattice parameters (Å, degrees): 4.6687 5.1630 4.6687 90.00 90.00 90.00
Closest atoms and distances in Å follow each position.
Sites, in units of the cell vectors:
Cs 0.0000 0.0000 0.0000  4 Be 2.33, 2 Zn 2.58
Be 0.0000 0.0000 0.5000  2 Cs 2.33
Be 0.5000 0.0000 0.0000  2 Cs 2.33
Zn 0.0000 0.5000 0.0000  2 Cs 2.58
Ta 0.5000 0.5000 0.5000  4 Zn 3.30, 8 Be 3.48

---

VASP calculation (PBE) on crystalline NaPmI2 at its relaxed geometry.

Results
- space-group type = R-3m (166)
- raw formation energy (eV per atom) = -0.92

Lattice parameters (Å, degrees): 4.0883 4.0883 11.2380 79.52 79.52 60.00
Closest atoms and distances in Å follow each position.
Sites, in units of the cell vectors:
I 0.8983 0.8983 0.3052  3 Pm 3.19, 1 Na 3.35
I 0.1017 0.1017 0.6948  3 Pm 3.19, 1 Na 3.35
Pm 0.5000 0.5000 0.5000  6 I 3.19
Na 0.0000 0.0000 0.0000  2 I 3.35

---

For the records above, the corresponding VASP energy values read -3.62; -5.65; -4.18; -2.66; -4.33; -2.90; -1.57; -3.21 eV/atom.
For the records above, the corresponding Fermi-level density of states values read 0.00; 8.67; 2.82; 0.00; 3.79; 12.57; 2.54; 2.67 states/eV per cell.